Entry 1:
The following is a DFT calculation (PBE) of a relaxed structure of Ac2Zn2Pd5Pt.

Cell: 3.9765 9.8752 9.8752 Å, 90.00 90.00 90.00°
Last column: nearest neighbours and their distance in Å.
Fractional positions:
Zn 0.0000 0.8903 0.3903  6 Pd 2.51-2.73
Pd 0.5000 0.5587 0.7078  2 Zn 2.73, 2 Pt 2.92, 3 Pd 2.94-3.02
Pd 0.5000 0.7078 0.4413  2 Zn 2.73, 2 Pt 2.92, 3 Pd 2.94-3.02
Ac 0.0000 0.3126 0.8126  3 Zn 2.83-3.03
Pd 0.5000 0.4413 0.2922  2 Zn 2.73, 2 Pt 2.92, 3 Pd 2.94-3.02
Ac 0.0000 0.6874 0.1874  3 Zn 2.83-3.03
Pd 0.5000 0.9413 0.2078  2 Zn 2.73, 2 Pt 2.92, 3 Pd 2.94-3.02
Zn 0.0000 0.3903 0.1097  6 Pd 2.51-2.73
Zn 0.0000 0.1097 0.6097  6 Pd 2.51-2.73
Pd 0.5000 0.0000 0.5000  4 Zn 2.51
Pd 0.5000 0.2922 0.5587  2 Zn 2.73, 2 Pt 2.92, 3 Pd 2.94-3.02
Pd 0.5000 0.0587 0.7922  2 Zn 2.73, 2 Pt 2.92, 3 Pd 2.94-3.02
Pd 0.5000 0.7922 0.9413  2 Zn 2.73, 2 Pt 2.92, 3 Pd 2.94-3.02
Pt 0.0000 0.0000 0.0000  8 Pd 2.92
Ac 0.0000 0.1874 0.3126  3 Zn 2.83-3.03
Zn 0.0000 0.6097 0.8903  6 Pd 2.51-2.73
Pt 0.0000 0.5000 0.5000  8 Pd 2.92
Pd 0.5000 0.5000 0.0000  4 Zn 2.51
Pd 0.5000 0.2078 0.0587  2 Zn 2.73, 2 Pt 2.92, 3 Pd 2.94-3.02
Ac 0.0000 0.8126 0.6874  3 Zn 2.83-3.03

Computed properties:
crystal system	tetragonal
total magnetic moment	0.000	μB per atom
calculated formation energy	-588	meV/atom

Entry 2:
The following is a DFT calculation (PBE) of a relaxed structure of SiSb2Mo.

Cell: 5.0002 5.0002 5.0470 Å, 83.31 83.31 40.16°
Last column: nearest neighbours and their distance in Å.
Fractional positions:
Sb 0.9755 0.9755 0.0159  1 Si 2.64, 2 Mo 2.87
Mo 0.2500 0.2500 0.2500  6 Sb 2.87-2.97, 4 Si 3.05
Si 0.7500 0.7500 0.7500  2 Sb 2.64
Sb 0.5245 0.5245 0.4841  1 Si 2.64, 2 Mo 2.87

Computed properties:
energy relative to the elements, uncorrected	0.50	eV/atom
crystal system	monoclinic
total magnetic moment	0.000	μB per atom